AlFe2Ir (GGA-PBE, relaxed); uncorrected energy = -7.653 eV per atom; space group = No. 8
1.0
9.153 0.000 0.000
0.000 2.975 0.000
-1.855 0.000 3.802
Al Fe Ir
2 4 2
direct
0.000 0.000 0.000
0.500 0.500 0.000
0.253 0.500 0.263
0.483 0.000 0.482
0.753 0.000 0.263
0.983 0.500 0.482
0.242 0.000 0.752
0.742 0.500 0.752


ScCdBi (GGA-PBE, relaxed); space group = No. 71; polymorph energy (0 for the lowest one) = 59 meV per atom
1.0
3.653 0.000 0.000
0.000 5.325 0.000
0.000 0.000 16.547
Sc Cd Bi
4 4 4
direct
0.000 0.000 0.177
0.000 0.000 0.823
0.500 0.500 0.323
0.500 0.500 0.677
0.000 0.246 0.000
0.000 0.754 0.000
0.500 0.254 0.500
0.500 0.746 0.500
0.000 0.000 0.356
0.000 0.000 0.644
0.500 0.500 0.144
0.500 0.500 0.856


Tb2Sc5Fe2 (GGA-PBE, relaxed); uncorrected energy = -6.438 eV per atom; space group = No. 64
1.0
9.383 -3.323 0.000
9.383 3.323 0.000
0.000 0.000 6.599
Tb Sc Fe
4 10 4
direct
0.231 0.231 0.000
0.269 0.269 0.500
0.731 0.731 0.500
0.769 0.769 0.000
0.000 0.000 0.000
0.081 0.714 0.680
0.214 0.581 0.180
0.286 0.919 0.680
0.419 0.786 0.180
0.500 0.500 0.500
0.581 0.214 0.820
0.714 0.081 0.320
0.786 0.419 0.820
0.919 0.286 0.320
0.116 0.884 0.389
0.384 0.616 0.889
0.616 0.384 0.111
0.884 0.116 0.611


PrEuInRh (GGA-PBE, relaxed); uncorrected energy = -6.663 eV per atom; space group = No. 216
1.0
7.459 0.000 0.000
0.000 7.459 0.000
0.000 0.000 7.459
Pr Eu In Rh
4 4 4 4
direct
0.000 0.000 0.000
0.000 0.500 0.500
0.500 0.000 0.500
0.500 0.500 0.000
0.000 0.000 0.500
0.000 0.500 0.000
0.500 0.000 0.000
0.500 0.500 0.500
0.250 0.250 0.250
0.250 0.750 0.750
0.750 0.250 0.750
0.750 0.750 0.250
0.250 0.250 0.750
0.250 0.750 0.250
0.750 0.250 0.250
0.750 0.750 0.750


Li12Sn5Hg2 (GGA-PBE, relaxed); uncorrected energy = -2.577 eV per atom; space group = No. 12
1.0
6.927 -3.587 0.000
6.927 3.587 0.000
-0.607 0.000 7.492
Li Sn Hg
12 5 2
direct
0.050 0.050 0.265
0.089 0.690 0.389
0.112 0.521 0.787
0.310 0.911 0.611
0.350 0.350 0.131
0.479 0.888 0.213
0.521 0.112 0.787
0.650 0.650 0.869
0.690 0.089 0.389
0.888 0.479 0.213
0.911 0.310 0.611
0.950 0.950 0.735
0.156 0.156 0.940
0.257 0.257 0.461
0.500 0.500 0.500
0.743 0.743 0.539
0.844 0.844 0.060
0.291 0.709 0.000
0.709 0.291 0.000


TlCu2B2 (GGA-PBE, relaxed); space group = No. 127; polymorph energy (0 for the lowest one) = 180 meV per atom
1.0
5.832 0.000 0.000
0.000 5.832 0.000
0.000 0.000 3.713
Tl Cu B
2 4 4
direct
0.000 0.000 0.000
0.500 0.500 0.000
0.147 0.353 0.500
0.353 0.853 0.500
0.647 0.147 0.500
0.853 0.647 0.500
0.099 0.599 0.000
0.401 0.099 0.000
0.599 0.901 0.000
0.901 0.401 0.000


BeCr4Ir (GGA-PBE, relaxed); uncorrected energy = -8.376 eV per atom; space group = No. 216
1.0
0.000 3.305 3.305
3.305 0.000 3.305
3.305 3.305 0.000
Be Cr Ir
1 4 1
direct
0.000 0.000 0.000
0.116 0.628 0.628
0.628 0.116 0.628
0.628 0.628 0.116
0.628 0.628 0.628
0.250 0.250 0.250


PmY12Er6 (GGA-PBE, relaxed); space group = No. 148; polymorph energy (0 for the lowest one) = 0 meV per atom
1.0
5.929 3.423 5.102
-5.929 3.423 5.102
0.000 -6.846 5.102
Pm Y Er
1 12 6
direct
0.000 0.000 0.000
0.009 0.204 0.359
0.204 0.359 0.009
0.224 0.457 0.564
0.359 0.009 0.204
0.436 0.776 0.543
0.457 0.564 0.224
0.543 0.436 0.776
0.564 0.224 0.457
0.641 0.991 0.796
0.776 0.543 0.436
0.796 0.641 0.991
0.991 0.796 0.641
0.093 0.691 0.255
0.255 0.093 0.691
0.309 0.745 0.907
0.691 0.255 0.093
0.745 0.907 0.309
0.907 0.309 0.745


Rb2Na3Tl12Sn (GGA-PBE, relaxed); uncorrected energy = -2.115 eV per atom; space group = No. 166
1.0
4.053 2.340 11.536
-4.053 2.340 11.536
0.000 -4.680 11.536
Rb Na Tl Sn
2 3 12 1
direct
0.150 0.150 0.150
0.850 0.850 0.850
0.000 0.500 0.500
0.500 0.000 0.500
0.500 0.500 0.000
0.081 0.081 0.692
0.081 0.692 0.081
0.135 0.579 0.579
0.308 0.919 0.919
0.421 0.421 0.865
0.421 0.865 0.421
0.579 0.135 0.579
0.579 0.579 0.135
0.692 0.081 0.081
0.865 0.421 0.421
0.919 0.308 0.919
0.919 0.919 0.308
0.500 0.500 0.500


Y2HoIn (GGA-PBE, relaxed); space group = No. 225; polymorph energy (0 for the lowest one) = 128 meV per atom
1.0
7.713 0.000 0.000
0.000 7.713 0.000
0.000 0.000 7.713
Y Ho In
8 4 4
direct
0.250 0.250 0.250
0.250 0.250 0.750
0.250 0.750 0.250
0.250 0.750 0.750
0.750 0.250 0.250
0.750 0.250 0.750
0.750 0.750 0.250
0.750 0.750 0.750
0.000 0.000 0.000
0.000 0.500 0.500
0.500 0.000 0.500
0.500 0.500 0.000
0.000 0.000 0.500
0.000 0.500 0.000
0.500 0.000 0.000
0.500 0.500 0.500


HgBi2AsOs (GGA-PBE, relaxed); uncorrected energy = -4.259 eV per atom; space group = No. 123
1.0
5.589 0.000 0.000
0.000 5.589 0.000
0.000 0.000 4.593
Hg Bi As Os
1 2 1 1
direct
0.000 0.000 0.000
0.000 0.500 0.500
0.500 0.000 0.500
0.500 0.500 0.000
0.500 0.500 0.500


ZrZn2Co (GGA-PBE, relaxed); uncorrected energy = -4.440 eV per atom; space group = No. 122
1.0
3.681 0.000 0.000
0.000 3.681 0.000
0.000 0.000 19.408
Zr Zn Co
4 8 4
direct
0.000 0.000 0.000
0.000 0.500 0.250
0.500 0.000 0.750
0.500 0.500 0.500
0.226 0.250 0.625
0.250 0.726 0.875
0.250 0.774 0.375
0.274 0.250 0.125
0.726 0.750 0.125
0.750 0.226 0.375
0.750 0.274 0.875
0.774 0.750 0.625
0.000 0.000 0.500
0.000 0.500 0.750
0.500 0.000 0.250
0.500 0.500 0.000